# PBE-GGA AlCr, optimized geometry
data_AlCr
_chemical_formula_sum 'Al4 Cr4'
_cell_length_a 5.6178
_cell_length_b 6.3886
_cell_length_c 2.9560
_cell_angle_alpha 90.00
_cell_angle_beta 90.00
_cell_angle_gamma 90.00
_space_group_name_H-M_alt 'C m m m'
_space_group_IT_number 65
_space_group_name_Hall '-C 2 2'
loop_
_atom_site_label
_atom_site_fract_x
_atom_site_fract_y
_atom_site_fract_z
Al1 0.0000 0.2081 0.0000
Cr1 0.1896 0.5000 0.5000
# crystal system = orthorhombic
# E_form = -0.10 eV/f.u.
# size of the total moment = 0.0 Bohr magnetons per cell